(1)
Dy6Ho4Tm19 | PBE | relaxed

Cell lengths 10.634, 10.634, 10.634 Å; angles 109.47, 109.47, 109.47 degrees
Sites, in units of the cell vectors:
Ho: 0.000 0.000 0.643
Ho: 0.643 0.000 0.000
Ho: 0.357 0.357 0.357
Ho: 0.000 0.643 0.000
Tm: 0.261 0.261 0.000
Tm: 0.788 0.985 0.324
Tm: 0.015 0.803 0.340
Tm: 0.536 0.197 0.212
Tm: 0.000 0.000 0.000
Tm: 0.676 0.660 0.464
Tm: 0.261 0.000 0.261
Tm: 0.340 0.015 0.803
Tm: 0.212 0.536 0.197
Tm: 0.324 0.788 0.985
Tm: 0.739 0.000 0.739
Tm: 0.803 0.340 0.015
Tm: 0.660 0.464 0.676
Tm: 0.000 0.739 0.739
Tm: 0.000 0.261 0.261
Tm: 0.197 0.212 0.536
Tm: 0.985 0.324 0.788
Tm: 0.464 0.676 0.660
Tm: 0.739 0.739 0.000
Dy: 0.871 0.371 0.500
Dy: 0.129 0.629 0.500
Dy: 0.371 0.500 0.871
Dy: 0.629 0.500 0.129
Dy: 0.500 0.129 0.629
Dy: 0.500 0.871 0.371

Its formation energy is 392 meV/atom.

=====

(2)
Dy5HoTm5 | PBE | relaxed

Cell lengths 6.880, 9.358, 8.064 Å; angles 115.39, 53.15, 121.52 degrees
Sites, in units of the cell vectors:
Dy: 0.252 0.346 0.326
Dy: 0.852 0.642 0.157
Dy: 0.748 0.654 0.674
Dy: 0.148 0.358 0.843
Dy: 0.500 0.000 0.000
Tm: 0.678 0.279 0.353
Tm: 0.322 0.721 0.647
Tm: 0.340 0.686 0.208
Tm: 0.000 0.000 0.500
Tm: 0.660 0.314 0.792
Ho: 0.000 0.000 0.000

The value obtained for the energy above the most stable polymorph in this dataset is 0.0 meV/atom. Its formation energy is 151 meV/atom.

=====

(3)
DyHo5Tm12 | PBE | relaxed

Cell lengths 6.072, 6.072, 17.103 Å; angles 86.63, 86.63, 120.00 degrees
Sites, in units of the cell vectors:
Tm: 0.556 0.222 0.332
Tm: 0.278 0.278 0.167
Tm: 0.389 0.056 0.833
Tm: 0.889 0.889 0.332
Tm: 0.611 0.944 0.167
Tm: 0.222 0.556 0.332
Tm: 0.056 0.389 0.833
Tm: 0.944 0.611 0.167
Tm: 0.722 0.722 0.833
Tm: 0.778 0.444 0.668
Tm: 0.111 0.111 0.668
Tm: 0.444 0.778 0.668
Ho: 0.833 0.167 0.500
Ho: 0.500 0.500 0.500
Ho: 0.167 0.833 0.500
Ho: 0.333 0.667 0.000
Ho: 0.667 0.333 0.000
Dy: 0.000 0.000 0.000

Its formation energy is 12 meV/atom.

=====

Number 1: size of the total moment 0.00 μB/cell. Number 2: size of the total moment 0.00 μB/cell. Number 3: size of the total moment 0.00 μB/cell.